## CrH7Pd5 (PBE-GGA)

Data for a relaxed CrH7Pd5 crystal.

Properties
The calculation puts the volume at 8.989 Å³ per atom. For the density of states at the Fermi level, the calculation gives 0.216 states/eV/atom. For the total DFT energy (no corrections), the calculation gives -4.57 eV/atom. As for the crystal system: triclinic.

Structure (CIF):
```
data_CrH7Pd5
_chemical_formula_sum 'Cr2 H14 Pd10'
_symmetry_space_group_name_H-M 'P -1'
_symmetry_Int_Tables_number 2
_symmetry_space_group_name_Hall '-P 1'
_cell_length_a 2.9470
_cell_length_b 4.8860
_cell_length_c 16.5774
_cell_angle_alpha 92.41
_cell_angle_beta 91.05
_cell_angle_gamma 101.39
loop_
_atom_site_label
_atom_site_type_symbol
_atom_site_fract_x
_atom_site_fract_y
_atom_site_fract_z
Cr1 Cr 0.0622 0.4771 0.2512
H1 H 0.0546 0.2005 0.4026
H2 H 0.1742 0.1012 0.8915
H3 H 0.2095 0.8807 0.2644
H4 H 0.4000 0.4368 0.6842
H5 H 0.4315 0.7324 0.4827
H6 H 0.4360 0.7297 0.9942
H7 H 0.4715 0.5984 0.8140
Pd1 Pd 0.0000 0.0000 0.0000
Pd2 Pd 0.0000 0.0000 0.5000
Pd3 Pd 0.2453 0.0378 0.6747
Pd4 Pd 0.3474 0.0155 0.1688
Pd5 Pd 0.3880 0.5544 0.5823
Pd6 Pd 0.4836 0.4684 0.9137
```



## Cr2HPd (PBE-GGA)

Data for a relaxed Cr2HPd crystal.

Properties
The calculation puts the excess energy over the best structure of this formula in the dataset at 1.32 eV/f.u. The calculation puts the volume at 10.827 Å³ per atom. For the density of states at the Fermi level, the calculation gives 1.424 states/eV/atom. For the total DFT energy (no corrections), the calculation gives -6.56 eV/atom. As for the crystal system: trigonal.

Structure (CIF):
```
data_Cr2HPd
_chemical_formula_sum 'Cr6 H3 Pd3'
_symmetry_space_group_name_H-M 'R -3 m'
_symmetry_Int_Tables_number 166
_symmetry_space_group_name_Hall '-R 3 2"'
_cell_length_a 2.6483
_cell_length_b 2.6483
_cell_length_c 21.3907
_cell_angle_alpha 90.00
_cell_angle_beta 90.00
_cell_angle_gamma 120.00
loop_
_atom_site_label
_atom_site_type_symbol
_atom_site_fract_x
_atom_site_fract_y
_atom_site_fract_z
Cr1 Cr 0.0000 0.0000 0.1169
H1 H 0.0000 0.0000 0.5000
Pd1 Pd 0.0000 0.0000 0.0000
```



## CrH6Pd7 (PBE-GGA)

Data for a relaxed CrH6Pd7 crystal.

Properties
The calculation puts the volume at 10.092 Å³ per atom. For the density of states at the Fermi level, the calculation gives 0.268 states/eV/atom. For the total DFT energy (no corrections), the calculation gives -4.78 eV/atom. As for the crystal system: triclinic.

Structure (CIF):
```
data_CrH6Pd7
_chemical_formula_sum 'Cr1 H6 Pd7'
_symmetry_space_group_name_H-M 'P 1'
_symmetry_Int_Tables_number 1
_symmetry_space_group_name_Hall 'P 1'
_cell_length_a 5.6590
_cell_length_b 5.6614
_cell_length_c 5.7976
_cell_angle_alpha 104.58
_cell_angle_beta 104.75
_cell_angle_gamma 118.76
loop_
_atom_site_label
_atom_site_type_symbol
_atom_site_fract_x
_atom_site_fract_y
_atom_site_fract_z
Cr1 Cr 0.0000 0.0000 0.0000
H1 H 0.0006 0.6811 0.1579
H2 H 0.1030 0.2489 0.3525
H3 H 0.1072 0.2664 0.8233
H4 H 0.4777 0.1592 0.1578
H5 H 0.5565 0.7160 0.8236
H6 H 0.9376 0.7039 0.6425
Pd1 Pd 0.4085 0.9258 0.8235
Pd2 Pd 0.4110 0.9184 0.3280
Pd3 Pd 0.5074 0.5064 0.5013
Pd4 Pd 0.5075 0.5089 0.0167
Pd5 Pd 0.8989 0.4163 0.8235
Pd6 Pd 0.9101 0.4171 0.3259
Pd7 Pd 0.9949 0.9936 0.5012
```



## CrHPd (PBE-GGA)

Data for a relaxed CrHPd crystal.

Properties
The calculation puts the excess energy over the best structure of this formula in the dataset at 0.01 eV/f.u. The calculation puts the volume at 10.155 Å³ per atom. For the density of states at the Fermi level, the calculation gives 0.687 states/eV/atom. For the total DFT energy (no corrections), the calculation gives -5.90 eV/atom. As for the crystal system: orthorhombic.

Structure (CIF):
```
data_CrHPd
_chemical_formula_sum 'Cr8 H8 Pd8'
_symmetry_space_group_name_H-M 'P b c n'
_symmetry_Int_Tables_number 60
_symmetry_space_group_name_Hall '-P 2n 2ab'
_cell_length_a 9.5948
_cell_length_b 5.4358
_cell_length_c 4.6731
_cell_angle_alpha 90.00
_cell_angle_beta 90.00
_cell_angle_gamma 90.00
loop_
_atom_site_label
_atom_site_type_symbol
_atom_site_fract_x
_atom_site_fract_y
_atom_site_fract_z
Cr1 Cr 0.0885 0.1241 0.0997
H1 H 0.2165 0.0896 0.3883
Pd1 Pd 0.1264 0.3749 0.6018
```



## Cr2HPd (PBE-GGA)

Data for a relaxed Cr2HPd crystal.

Properties
The calculation puts the excess energy over the best structure of this formula in the dataset at 0.17 eV/f.u. The calculation puts the volume at 10.488 Å³ per atom. For the density of states at the Fermi level, the calculation gives 0.642 states/eV/atom. For the total DFT energy (no corrections), the calculation gives -6.84 eV/atom. As for the crystal system: monoclinic.

Structure (CIF):
```
data_Cr2HPd
_chemical_formula_sum 'Cr4 H2 Pd2'
_symmetry_space_group_name_H-M 'C 1 m 1'
_symmetry_Int_Tables_number 8
_symmetry_space_group_name_Hall 'C -2y'
_cell_length_a 11.2237
_cell_length_b 2.8183
_cell_length_c 2.6985
_cell_angle_alpha 90.00
_cell_angle_beta 100.57
_cell_angle_gamma 90.00
loop_
_atom_site_label
_atom_site_type_symbol
_atom_site_fract_x
_atom_site_fract_y
_atom_site_fract_z
Cr1 Cr 0.0000 0.0000 0.0000
Cr2 Cr 0.1352 0.5000 0.7805
H1 H 0.1610 0.0000 0.2717
Pd1 Pd 0.3319 0.0000 0.3919
```



## Cr2HPd (PBE-GGA)

Data for a relaxed Cr2HPd crystal.

Properties
The calculation puts the excess energy over the best structure of this formula in the dataset at 0.42 eV/f.u. The calculation puts the volume at 10.678 Å³ per atom. For the density of states at the Fermi level, the calculation gives 0.734 states/eV/atom. For the total DFT energy (no corrections), the calculation gives -6.78 eV/atom. As for the crystal system: monoclinic.

Structure (CIF):
```
data_Cr2HPd
_chemical_formula_sum 'Cr4 H2 Pd2'
_symmetry_space_group_name_H-M 'C 1 2/m 1'
_symmetry_Int_Tables_number 12
_symmetry_space_group_name_Hall '-C 2y'
_cell_length_a 11.3497
_cell_length_b 2.8333
_cell_length_c 2.7024
_cell_angle_alpha 90.00
_cell_angle_beta 100.56
_cell_angle_gamma 90.00
loop_
_atom_site_label
_atom_site_type_symbol
_atom_site_fract_x
_atom_site_fract_y
_atom_site_fract_z
Cr1 Cr 0.1881 0.0000 0.1139
H1 H 0.0000 0.0000 0.0000
Pd1 Pd 0.0000 0.5000 0.5000
```